Record 1
The following is a PBE calculation of a geometry-optimized LiZrBe3 structure, from Alexandria via LeMat-Bulk.

Cell lengths 4.8585, 4.8585, 4.8585 Å; angles 90.00, 90.00, 90.00 degrees
Element x y z (fractional)
Li 0.0000 0.0000 0.0000
Zr 0.5000 0.5000 0.5000
Be 0.0000 0.5000 0.5000
Be 0.5000 0.0000 0.5000
Be 0.5000 0.5000 0.0000

ΔH_f (0 K) ... 1520 meV per atom
Relative energy among the computed polymorphs ... 1212 meV per atom
Symmetry ... Pm-3m
Density ... 1.8 g/cm3

---

Record 2
The following is a PBE calculation of a geometry-optimized SmDyBi structure, from Alexandria via LeMat-Bulk.

Cell lengths 9.3983, 9.3983, 9.3983 Å; angles 159.19, 159.19, 29.60 degrees
Element x y z (fractional)
Sm 0.0000 0.0000 0.0000
Dy 0.8052 0.8052 0.0000
Bi 0.6307 0.6307 0.0000

ΔH_f (0 K) ... 140 meV per atom
Symmetry ... I4mm
Density ... 8.3 g/cm3

---

Record 3
The following is a PBE calculation of a geometry-optimized AlIr3S structure, from Alexandria via LeMat-Bulk.

Cell lengths 4.5029, 4.5029, 4.5029 Å; angles 90.00, 90.00, 90.00 degrees
Element x y z (fractional)
Al 0.0000 0.0000 0.0000
Ir 0.0000 0.0000 0.5000
Ir 0.0000 0.5000 0.0000
Ir 0.5000 0.0000 0.0000
S 0.5000 0.5000 0.5000

Raw formation energy ... 1.508 eV/atom
Relative energy among the computed polymorphs ... 807 meV per atom
Symmetry ... Pm-3m
Density ... 11.6 g/cm3

---

Record 4
The following is a PBE calculation of a geometry-optimized BeCS2Cl structure, from Alexandria via LeMat-Bulk.

Cell lengths 4.6217, 4.6217, 3.4283 Å; angles 90.00, 90.00, 90.00 degrees
Element x y z (fractional)
Be 0.0000 0.0000 0.0000
C 0.0000 0.0000 0.5000
S 0.0000 0.5000 0.0000
S 0.5000 0.0000 0.0000
Cl 0.5000 0.5000 0.5000

Raw formation energy ... 1.296 eV/atom
Relative energy among the computed polymorphs ... 0 meV per atom
Symmetry ... P4/mmm
Density ... 2.7 g/cm3

---

Record 5
The following is a PBE calculation of a geometry-optimized Pm2Dy5Sb4 structure, from Alexandria via LeMat-Bulk.

Cell lengths 12.6719, 12.6719, 7.1477 Å; angles 95.32, 95.32, 19.44 degrees
Element x y z (fractional)
Pm 0.0544 0.0544 0.1580
Pm 0.9456 0.9456 0.8420
Dy 0.1692 0.1692 0.4741
Dy 0.1787 0.1787 0.9690
Dy 0.5000 0.5000 0.5000
Dy 0.8213 0.8213 0.0310
Dy 0.8308 0.8308 0.5259
Sb 0.0696 0.0696 0.7201
Sb 0.2738 0.2738 0.2706
Sb 0.7262 0.7262 0.7294
Sb 0.9304 0.9304 0.2799

Raw formation energy ... -0.420 eV/atom
Symmetry ... C2/m
Density ... 6.9 g/cm3

---

Record 6
The following is a PBE calculation of a geometry-optimized PrTmCdPt structure, from Alexandria via LeMat-Bulk.

Cell lengths 5.1684, 5.1684, 5.1684 Å; angles 60.00, 60.00, 60.00 degrees
Element x y z (fractional)
Pr 0.0000 0.0000 0.0000
Tm 0.5000 0.5000 0.5000
Cd 0.7500 0.7500 0.7500
Pt 0.2500 0.2500 0.2500

ΔH_f (0 K) ... -656 meV per atom
Symmetry ... F-43m
Density ... 10.5 g/cm3

---

Record 7
The following is a PBE calculation of a geometry-optimized Ta2CoPb structure, from Alexandria via LeMat-Bulk.

Cell lengths 3.0145, 3.0145, 7.8914 Å; angles 90.00, 90.00, 90.00 degrees
Element x y z (fractional)
Ta 0.0000 0.0000 0.1975
Ta 0.0000 0.0000 0.8025
Co 0.5000 0.5000 0.0000
Pb 0.5000 0.5000 0.5000

ΔH_f (0 K) ... 304 meV per atom
Symmetry ... P4/mmm
Density ... 14.5 g/cm3

---

Record 8
The following is a PBE calculation of a geometry-optimized CaLa3Tc structure, from Alexandria via LeMat-Bulk.

Cell lengths 13.5970, 13.5970, 13.5970 Å; angles 154.81, 154.81, 35.93 degrees
Element x y z (fractional)
Ca 0.0000 0.0000 0.0000
Ca 0.7500 0.2500 0.5000
La 0.2867 0.2867 0.0000
La 0.3739 0.1362 0.2377
La 0.7133 0.7133 0.0000
La 0.8638 0.1015 0.2377
La 0.8638 0.6261 0.7623
La 0.8985 0.1362 0.7623
Tc 0.2068 0.7068 0.5000
Tc 0.2932 0.7932 0.5000

ΔH_f (0 K) ... 844 meV per atom
Relative energy among the computed polymorphs ... 860 meV per atom
Symmetry ... I-4m2
Density ... 4.0 g/cm3

---

DFT total energy for the records above, in order: -0.103, -0.157, -0.198, -0.122, -0.179, -0.173, -0.306, -0.169 Ha/atom